# 1
# TlFe2CoB | Alexandria via LeMat-Bulk | PBE-GGA | relaxed
data_TlFe2CoB
_chemical_formula_sum 'Tl1 Fe2 Co1 B1'
_space_group_name_H-M_alt 'P 4/m m m'
_space_group_IT_number 123
_space_group_name_Hall '-P 4 2'
_cell_length_a 4.1803
_cell_length_b 4.1803
_cell_length_c 4.8322
_cell_angle_alpha 90.00
_cell_angle_beta 90.00
_cell_angle_gamma 90.00
loop_
_atom_site_label
_atom_site_type_symbol
_atom_site_fract_x
_atom_site_fract_y
_atom_site_fract_z
Tl1 Tl 0.0000 0.0000 0.0000
Fe1 Fe 0.0000 0.5000 0.5000
Co1 Co 0.0000 0.0000 0.5000
B1 B 0.5000 0.5000 0.0000
# DFT formation energy = 10.02 eV/f.u.
# D(E_F) = 2.016 states/eV per atom

# 2
# Tm2Fe5CoB2 | Alexandria via LeMat-Bulk | PBE-GGA | relaxed
data_Tm2Fe5CoB2
_chemical_formula_sum 'Tm4 Fe10 Co2 B4'
_space_group_name_H-M_alt 'P 4/m b m'
_space_group_IT_number 127
_space_group_name_Hall '-P 4 2ab'
_cell_length_a 8.8729
_cell_length_b 8.8729
_cell_length_c 3.1053
_cell_angle_alpha 90.00
_cell_angle_beta 90.00
_cell_angle_gamma 90.00
loop_
_atom_site_label
_atom_site_type_symbol
_atom_site_fract_x
_atom_site_fract_y
_atom_site_fract_z
Tm1 Tm 0.1756 0.3244 0.0000
Fe1 Fe 0.0000 0.5000 0.5000
Fe2 Fe 0.0661 0.7839 0.5000
Co1 Co 0.0000 0.0000 0.0000
B1 B 0.1201 0.6201 0.0000
# DFT formation energy = -1.58 eV/f.u.
# D(E_F) = 0.988 states/eV per atom

# 3
# TmFeCoB2 | Alexandria via LeMat-Bulk | PBE-GGA | relaxed
data_TmFeCoB2
_chemical_formula_sum 'Tm2 Fe2 Co2 B4'
_space_group_name_H-M_alt 'I -4 m 2'
_space_group_IT_number 119
_space_group_name_Hall 'I -4 -2'
_cell_length_a 3.5925
_cell_length_b 3.5925
_cell_length_c 9.0591
_cell_angle_alpha 90.00
_cell_angle_beta 90.00
_cell_angle_gamma 90.00
loop_
_atom_site_label
_atom_site_type_symbol
_atom_site_fract_x
_atom_site_fract_y
_atom_site_fract_z
Tm1 Tm 0.0000 0.0000 0.0000
Fe1 Fe 0.0000 0.5000 0.2500
Co1 Co 0.0000 0.5000 0.7500
B1 B 0.0000 0.0000 0.3448
# DFT formation energy = -2.68 eV/f.u.
# D(E_F) = 0.359 states/eV per atom

# 4
# Tm2FeCo5B2 | Alexandria via LeMat-Bulk | PBE-GGA | relaxed
data_Tm2FeCo5B2
_chemical_formula_sum 'Tm4 Fe2 Co10 B4'
_space_group_name_H-M_alt 'P 4/m b m'
_space_group_IT_number 127
_space_group_name_Hall '-P 4 2ab'
_cell_length_a 8.9096
_cell_length_b 8.9096
_cell_length_c 3.0179
_cell_angle_alpha 90.00
_cell_angle_beta 90.00
_cell_angle_gamma 90.00
loop_
_atom_site_label
_atom_site_type_symbol
_atom_site_fract_x
_atom_site_fract_y
_atom_site_fract_z
Tm1 Tm 0.1771 0.3229 0.0000
Fe1 Fe 0.0000 0.0000 0.0000
Co1 Co 0.0000 0.5000 0.5000
Co2 Co 0.0669 0.7786 0.5000
B1 B 0.1185 0.6185 0.0000
# DFT formation energy = -3.32 eV/f.u.
# D(E_F) = 0.339 states/eV per atom

# 5
# YFe2CoB | Alexandria via LeMat-Bulk | PBE-GGA | relaxed
data_YFe2CoB
_chemical_formula_sum 'Y1 Fe2 Co1 B1'
_space_group_name_H-M_alt 'P 4/m m m'
_space_group_IT_number 123
_space_group_name_Hall '-P 4 2'
_cell_length_a 3.9868
_cell_length_b 3.9868
_cell_length_c 4.0221
_cell_angle_alpha 90.00
_cell_angle_beta 90.00
_cell_angle_gamma 90.00
loop_
_atom_site_label
_atom_site_type_symbol
_atom_site_fract_x
_atom_site_fract_y
_atom_site_fract_z
Y1 Y 0.0000 0.0000 0.0000
Fe1 Fe 0.0000 0.5000 0.5000
Co1 Co 0.5000 0.5000 0.0000
B1 B 0.5000 0.5000 0.5000
# DFT formation energy = -0.65 eV/f.u.
# D(E_F) = 0.972 states/eV per atom

# 6
# YFeCoB2 | Alexandria via LeMat-Bulk | PBE-GGA | relaxed
data_YFeCoB2
_chemical_formula_sum 'Y2 Fe2 Co2 B4'
_space_group_name_H-M_alt 'I -4 m 2'
_space_group_IT_number 119
_space_group_name_Hall 'I -4 -2'
_cell_length_a 3.6155
_cell_length_b 3.6155
_cell_length_c 9.2908
_cell_angle_alpha 90.00
_cell_angle_beta 90.00
_cell_angle_gamma 90.00
loop_
_atom_site_label
_atom_site_type_symbol
_atom_site_fract_x
_atom_site_fract_y
_atom_site_fract_z
Y1 Y 0.0000 0.0000 0.0000
Fe1 Fe 0.0000 0.5000 0.2500
Co1 Co 0.0000 0.5000 0.7500
B1 B 0.0000 0.0000 0.3389
# DFT formation energy = -2.57 eV/f.u.
# D(E_F) = 0.382 states/eV per atom

# 7
# Y2FeCo3B12 | Alexandria via LeMat-Bulk | PBE-GGA | relaxed
data_Y2FeCo3B12
_chemical_formula_sum 'Y6 Fe3 Co9 B36'
_space_group_name_H-M_alt 'R -3 m'
_space_group_IT_number 166
_space_group_name_Hall '-R 3 2"'
_cell_length_a 5.3419
_cell_length_b 5.3419
_cell_length_c 22.2020
_cell_angle_alpha 90.00
_cell_angle_beta 90.00
_cell_angle_gamma 120.00
loop_
_atom_site_label
_atom_site_type_symbol
_atom_site_fract_x
_atom_site_fract_y
_atom_site_fract_z
Y1 Y 0.0000 0.0000 0.1404
Fe1 Fe 0.0000 0.0000 0.5000
Co1 Co 0.0000 0.5000 0.0000
B1 B 0.0890 0.5445 0.0927
B2 B 0.1065 0.2129 0.7383
# DFT formation energy = -0.05 eV/f.u.
# D(E_F) = 0.628 states/eV per atom

# 8
# Zn2FeCoB | Alexandria via LeMat-Bulk | PBE-GGA | relaxed
data_Zn2FeCoB
_chemical_formula_sum 'Zn2 Fe1 Co1 B1'
_space_group_name_H-M_alt 'P 4/m m m'
_space_group_IT_number 123
_space_group_name_Hall '-P 4 2'
_cell_length_a 4.4622
_cell_length_b 4.4622
_cell_length_c 3.6773
_cell_angle_alpha 90.00
_cell_angle_beta 90.00
_cell_angle_gamma 90.00
loop_
_atom_site_label
_atom_site_type_symbol
_atom_site_fract_x
_atom_site_fract_y
_atom_site_fract_z
Zn1 Zn 0.0000 0.5000 0.0000
Fe1 Fe 0.0000 0.0000 0.5000
Co1 Co 0.5000 0.5000 0.0000
B1 B 0.5000 0.5000 0.5000
# DFT formation energy = 3.89 eV/f.u.
# D(E_F) = 1.017 states/eV per atom

For each record above, in turn, the calculated electronic total energy values are -4.611; -7.330; -7.215; -6.961; -7.564; -7.591; -6.827; -4.181 eV/atom.